1.
Here is a geometry-optimized LiErMnAl structure from Alexandria. Energies are from PBE.

Cell: 4.6863 4.6863 4.6863 Å, 60.00 60.00 60.00°
With the nearest neighbours (Å) after each atom.
Positions (direct):
Li: 0.0000 0.0000 0.0000  4 Er 2.87, 4 Al 2.87
Er: 0.7500 0.7500 0.7500  4 Li 2.87, 4 Mn 2.87
Mn: 0.5000 0.5000 0.5000  4 Er 2.87, 4 Al 2.87
Al: 0.2500 0.2500 0.2500  4 Mn 2.87, 4 Li 2.87

## Properties
- Energy of formation from the pure elements: -50 meV/atom
- VASP energy: -4.897 eV/atom
- SG: F-43m (216)

2.
Here is a geometry-optimized LiNdErAl structure from Alexandria. Energies are from PBE.

Cell: 5.2123 5.2123 5.2123 Å, 60.00 60.00 60.00°
With the nearest neighbours (Å) after each atom.
Positions (direct):
Li: 0.0000 0.0000 0.0000  4 Nd 3.19, 4 Er 3.19
Nd: 0.7500 0.7500 0.7500  4 Li 3.19, 4 Al 3.19
Er: 0.2500 0.2500 0.2500  4 Li 3.19, 4 Al 3.19
Al: 0.5000 0.5000 0.5000  4 Nd 3.19, 4 Er 3.19

## Properties
- Energy of formation from the pure elements: -197 meV/atom
- VASP energy: -3.944 eV/atom
- SG: F-43m (216)

3.
Here is a geometry-optimized LiEr2AlO5 structure from Alexandria. Energies are from PBE.

Cell: 6.3322 6.3322 5.5388 Å, 90.00 90.00 90.00°
With the nearest neighbours (Å) after each atom.
Positions (direct):
Li: 0.0000 0.0000 0.0000  10 O 2.77-2.78
Li: 0.5000 0.5000 0.0000  10 O 2.77-2.78
Er: 0.1785 0.3215 0.5000  4 O 2.20-2.33
Er: 0.3215 0.8215 0.5000  4 O 2.20-2.33
Er: 0.6785 0.1785 0.5000  4 O 2.20-2.33
Er: 0.8215 0.6785 0.5000  4 O 2.20-2.33
Al: 0.0000 0.5000 0.0000  4 O 1.80
Al: 0.5000 0.0000 0.0000  4 O 1.80
O: 0.0000 0.0000 0.5000  4 Er 2.33
O: 0.1378 0.6378 0.2364  1 Al 1.80
O: 0.1378 0.6378 0.7636  1 Al 1.80
O: 0.3622 0.1378 0.2364  1 Al 1.80
O: 0.3622 0.1378 0.7636  1 Al 1.80
O: 0.5000 0.5000 0.5000  4 Er 2.33
O: 0.6378 0.8622 0.2364  1 Al 1.80
O: 0.6378 0.8622 0.7636  1 Al 1.80
O: 0.8622 0.3622 0.2364  1 Al 1.80
O: 0.8622 0.3622 0.7636  1 Al 1.80

## Properties
- Uncorrected formation energy: -2.88 eV per atom
- VASP energy: -7.280 eV/atom
- SG: P4/mbm (127)